Entry 1:
YZn3Au: optimized geometry, PBE.

The calculation puts the energy relative to the lowest polymorph listed for this composition at 1400 meV/atom.

It has space group Pm-3m (No. 221), with a = 5.5800 Å, b = 5.5800 Å, c = 5.5800 Å, α = 90.00°, β = 90.00° and γ = 90.00°. The distinct sites, in fractional coordinates, are Y at (0.0000, 0.0000, 0.0000), Zn at (0.0000, 0.0000, 0.5000) and Au at (0.5000, 0.5000, 0.5000).

Entry 2:
MnAlBr2: optimized geometry, PBE.

The calculation puts the energy relative to the lowest polymorph listed for this composition at 784 meV/atom. For the uncorrected formation energy, the calculation gives 0.432 eV/atom.

It has space group F-43m (No. 216), with a = 7.3613 Å, b = 7.3613 Å, c = 7.3613 Å, α = 90.00°, β = 90.00° and γ = 90.00°. The distinct sites, in fractional coordinates, are Mn at (0.0000, 0.0000, 0.0000), Al at (0.2500, 0.2500, 0.7500), Br at (0.0000, 0.0000, 0.5000) and Br at (0.2500, 0.2500, 0.2500).

Entry 3:
Tb8As3Se4S: optimized geometry, PBE.

For the uncorrected formation energy, the calculation gives -1.766 eV/atom.

It has space group R-3m (No. 166, hexagonal axes), with a = 8.1709 Å, b = 8.1709 Å, c = 20.1789 Å, α = 90.00°, β = 90.00° and γ = 120.00°. The distinct sites, in fractional coordinates, are Tb at (0.0000, 0.0000, 0.2463), Tb at (0.0035, 0.5017, 0.2451), As at (0.0000, 0.5000, 0.5000), Se at (0.0000, 0.0000, 0.0000), Se at (0.0000, 0.5000, 0.0000) and S at (0.0000, 0.0000, 0.5000).

| no. | raw total energy (eV per atom) |
| --- | --- |
| 1 | -1.7449 |
| 2 | -3.6324 |
| 3 | -6.0824 |